The following is a DFT calculation (GGA-PBE) of an optimized crystal structure of NaMn2V.

POSCAR file:
```
NaMn2V
1.0
4.9990 0.0000 0.0000
0.0000 4.9990 0.0000
2.4995 2.4995 8.0353
Mn Na V
4 2 2
Direct
0.8750 0.1252 0.7500 Mn
0.8752 0.1250 0.2500 Mn
0.8748 0.6250 0.2500 Mn
0.3750 0.1248 0.7500 Mn
0.5000 0.5000 0.0000 Na
0.2500 0.7500 0.5000 Na
0.0000 0.0000 0.0000 V
0.7500 0.2500 0.5000 V
```

Calculated values
For the total magnetic moment, the calculation gives 8.8 μB/cell. The volume comes out at 25.10 Å³ per atom. The distance to the lowest polymorph of the same formula comes out at 0.519 eV/atom. The calculated density comes out at 3.04 g/cm³. As for the formation energy from the elements: 1.186 eV/atom.